Below is an optimized crystal structure of Tb2Nd2SmHo4, with properties calculated at the PBE level.

The calculation puts the raw total energy at -4.650 eV per atom. As for the space group: C2/m (12).

abc: 3.610 9.537 9.587
angles: 115.19 90.00 100.91
Sites, in units of the cell vectors:
Ho 0.814 0.629 0.663
Ho 0.186 0.371 0.337
Ho 0.481 0.961 0.664
Ho 0.519 0.039 0.336
Sm 0.000 0.000 0.000
Nd 0.666 0.332 0.000
Nd 0.334 0.668 0.000
Tb 0.853 0.706 0.337
Tb 0.147 0.294 0.663

Below is an optimized crystal structure of NaTcPt3, with properties calculated at the PBE level.

Its relative energy among the computed polymorphs is 0.00 kJ per mole of atoms. The calculation puts the raw total energy at -5.226 eV per atom. As for the space group: Pm-3m (221).

abc: 4.852 4.852 4.852
angles: 90.00 90.00 90.00
Sites, in units of the cell vectors:
Pt 0.000 0.000 0.500
Pt 0.500 0.000 0.000
Pt 0.000 0.500 0.000
Na 0.500 0.500 0.500
Tc 0.000 0.000 0.000

Below is an optimized crystal structure of KTi2Ir, with properties calculated at the PBE level.

Its relative energy among the computed polymorphs is 29.31 kJ per mole of atoms. The calculation puts the raw total energy at -5.616 eV per atom. As for the space group: I4_1/amd (141).

abc: 5.403 5.403 9.069
angles: 72.67 72.67 90.00
Sites, in units of the cell vectors:
K 0.250 0.750 0.500
K 0.500 0.500 0.000
Ir 0.000 0.000 0.000
Ir 0.750 0.250 0.500
Ti 0.875 0.125 0.250
Ti 0.875 0.625 0.250
Ti 0.375 0.125 0.750
Ti 0.875 0.125 0.750

Below is an optimized crystal structure of Rb2HF, with properties calculated at the PBE level.

Its relative energy among the computed polymorphs is 8.23 kJ per mole of atoms. The calculation puts the raw total energy at -3.123 eV per atom. As for the space group: P4/mmm (123).

abc: 3.518 3.518 7.063
angles: 90.00 90.00 90.00
Sites, in units of the cell vectors:
Rb 0.000 0.000 0.257
Rb 0.000 0.000 0.743
H 0.500 0.500 0.000
F 0.500 0.500 0.500

Below is an optimized crystal structure of Tb2Dy6Th, with properties calculated at the PBE level.

The calculation puts the raw total energy at -4.861 eV per atom. As for the space group: P-6m2 (187).

abc: 3.567 3.567 26.267
angles: 90.00 90.00 120.00
Sites, in units of the cell vectors:
Th 0.333 0.667 0.000
Dy 0.667 0.333 0.890
Dy 0.667 0.333 0.110
Dy 0.333 0.667 0.435
Dy 0.333 0.667 0.781
Dy 0.333 0.667 0.219
Dy 0.333 0.667 0.565
Tb 0.667 0.333 0.329
Tb 0.667 0.333 0.671

Below is an optimized crystal structure of La2ErScBi4, with properties calculated at the PBE level.

The calculation puts the raw total energy at -5.415 eV per atom. As for the space group: P2/m (10).

abc: 4.551 7.876 7.815
angles: 109.63 90.00 90.00
Sites, in units of the cell vectors:
Er 0.500 0.500 0.000
La 0.000 0.500 0.500
La 0.500 0.000 0.500
Bi 0.000 0.251 0.769
Bi 0.500 0.237 0.227
Bi 0.500 0.763 0.773
Bi 0.000 0.749 0.231
Sc 0.000 0.000 0.000